First-principles (GGA-PBE) data for a geometry-optimized SnBiPd6 structure, as listed in Alexandria.

The structure belongs to space group C2/m (No. 12); the cell edges are 7.797, 5.484 and 7.541 Å and the angles 90.00°, 108.02° and 90.00°. The asymmetric unit holds Sn at (0.000, 0.000, 0.000), Bi at (0.000, 0.500, 0.500), Pd at (0.146, 0.500, 0.941) and Pd at (0.191, 0.256, 0.297).

The value obtained for the total magnetization is 0.00 μB per formula unit. As for the offset from the most stable computed form: 171 meV/atom. Its energy is -5.082 eV/atom.